Entry from OQMD via LeMat-Bulk: a relaxed structure of Cu2MoBr2 (PBE).

```
Cu2MoBr2
1.0
-0.908 6.993 -1.725
-2.810 -6.680 -0.417
-3.260 1.009 5.806
Br Cu Mo
4 4 2
Direct
0.154 0.846 0.011
0.154 0.846 0.489
0.846 0.154 0.511
0.846 0.154 0.989
0.424 0.576 0.072
0.424 0.576 0.428
0.576 0.424 0.572
0.576 0.424 0.928
0.002 0.998 0.250
0.998 0.002 0.750
```

**ρ**: 6.329 Mg/m³
**V**: 201 Å³ per cell
**DFT total energy**: -0.1477 hartree per atom
**Space-group type**: No. 63
**M_tot**: 3.097 μB per cell

---

Entry from OQMD via LeMat-Bulk: a relaxed structure of CuBrN (PBE).

```
CuBrN
1.0
-2.858 -8.794 4.559
1.253 -2.113 -3.291
6.119 -0.580 2.702
Br Cu N
4 4 4
Direct
0.321 0.002 0.146
0.679 0.502 0.354
0.321 0.498 0.646
0.679 0.998 0.854
0.542 0.820 0.144
0.458 0.320 0.356
0.542 0.680 0.644
0.458 0.180 0.856
0.979 0.400 0.046
0.021 0.900 0.454
0.979 0.100 0.546
0.021 0.600 0.954
```

**ρ**: 3.678 Mg/m³
**V**: 284 Å³ per cell
**DFT total energy**: -0.1739 hartree per atom
**Space-group type**: No. 14

---

Entry from OQMD via LeMat-Bulk: a relaxed structure of CuS4BrN4 (PBE).

```
CuS4BrN4
1.0
9.140 0.000 -0.018
0.000 11.864 0.000
-1.892 0.000 6.673
Br Cu N S
4 4 16 16
Direct
0.612 0.649 0.030
0.388 0.149 0.470
0.612 0.851 0.530
0.388 0.351 0.970
0.417 0.172 0.134
0.583 0.672 0.366
0.417 0.328 0.634
0.583 0.828 0.866
0.728 0.943 0.028
0.085 0.672 0.138
0.636 0.127 0.160
0.007 0.987 0.233
0.993 0.487 0.267
0.364 0.627 0.340
0.915 0.172 0.362
0.272 0.443 0.472
0.728 0.557 0.528
0.085 0.828 0.638
0.636 0.373 0.660
0.007 0.513 0.733
0.993 0.013 0.767
0.364 0.873 0.840
0.915 0.328 0.862
0.272 0.057 0.972
0.303 0.922 0.026
0.239 0.611 0.117
0.987 0.122 0.190
0.855 0.920 0.245
0.145 0.420 0.255
0.013 0.622 0.310
0.761 0.111 0.383
0.697 0.422 0.474
0.303 0.578 0.526
0.239 0.889 0.617
0.987 0.378 0.690
0.855 0.580 0.745
0.145 0.080 0.755
0.013 0.878 0.810
0.761 0.389 0.883
0.697 0.078 0.974
```

**ρ**: 3.010 Mg/m³
**V**: 723 Å³ per cell
**DFT total energy**: -0.1891 hartree per atom
**Space-group type**: No. 14

---

Entry from OQMD via LeMat-Bulk: a relaxed structure of Rb2NaCuBr6 (PBE).

```
Rb2NaCuBr6
1.0
0.000 5.407 5.407
5.407 0.000 5.407
5.407 5.407 0.000
Br Cu Na Rb
6 1 1 2
Direct
0.765 0.235 0.235
0.235 0.765 0.235
0.765 0.765 0.235
0.235 0.235 0.765
0.765 0.235 0.765
0.235 0.765 0.765
0.000 0.000 0.000
0.500 0.500 0.500
0.250 0.250 0.250
0.750 0.750 0.750
```

**ρ**: 3.871 Mg/m³
**V**: 316 Å³ per cell
**DFT total energy**: -0.1000 hartree per atom
**Space-group type**: No. 225

---

V of number 2 (CuBrN)? 284 Å³ per cell

---

Among the records above, which one has the highest DFT total energy? Rb2NaCuBr6

---

DFT total energy of number 3 (CuS4BrN4)? -0.1891 hartree per atom

---

Number 1 is which compound? Cu2MoBr2